A plane-wave DFT calculation with PBE-GGA was carried out for DyCuRh after structural relaxation.

Geometry as POSCAR:
```
DyCuRh
1.0
-0.4016 3.4482 -0.5169
-2.9960 -0.7959 -2.9816
-1.1404 0.4846 4.1188
Rh Cu Dy
1 1 1
Direct
0.1667 0.3333 0.6667 Rh
0.1666 0.0000 0.0000 Cu
0.6667 0.6667 0.3333 Dy
```

Output
The formation energy is -0.4839 eV/atom. The space group is P-6m2. Its energy above the most stable polymorph in this dataset is 0.082 eV per atom. The volume is 56.2 Å³ per cell.